# 1
Compound: CeScTe
Source: the Alexandria database
Functional: PBE
Structure: relaxed

a b c (Å): 4.9619 4.9619 3.8456
angles (deg): 90.00 90.00 120.00
Atoms (fractional coordinates):
Ce1 0.0000 0.0000 0.0000
Sc1 0.3333 0.6667 0.5000
Te1 0.6667 0.3333 0.5000

* uncorrected formation energy: -1.8 eV/f.u.
* raw total energy: -17.2 eV per cell
* crystal system: hexagonal

# 2
Compound: La2TlPb5
Source: the Alexandria database
Functional: PBE
Structure: relaxed

a b c (Å): 6.9581 13.9286 4.9926
angles (deg): 90.00 90.00 90.00
Atoms (fractional coordinates):
La1 0.2458 0.1268 0.0000
La2 0.2542 0.6268 0.0000
La3 0.7458 0.3732 0.0000
La4 0.7542 0.8732 0.0000
Tl1 0.0000 0.5000 0.5000
Tl2 0.5000 0.0000 0.5000
Pb1 0.0000 0.0000 0.5000
Pb2 0.0024 0.7495 0.5000
Pb3 0.2464 0.3763 0.0000
Pb4 0.2536 0.8763 0.0000
Pb5 0.4976 0.2495 0.5000
Pb6 0.5000 0.5000 0.5000
Pb7 0.5024 0.7505 0.5000
Pb8 0.7464 0.1237 0.0000
Pb9 0.7536 0.6237 0.0000
Pb10 0.9976 0.2505 0.5000

* raw total energy: -68.7 eV per cell
* crystal system: orthorhombic

# 3
Compound: Nd3Sm7Er
Source: the Alexandria database
Functional: PBE
Structure: relaxed

a b c (Å): 8.5616 8.5616 8.5616
angles (deg): 139.34 97.02 96.85
Atoms (fractional coordinates):
Nd1 0.0000 0.0000 0.0000
Nd2 0.2105 0.5000 0.7105
Nd3 0.7895 0.5000 0.2895
Sm1 0.0061 0.8017 0.2044
Sm2 0.2087 0.7087 0.5000
Sm3 0.4026 0.1983 0.2044
Sm4 0.5000 0.5000 0.0000
Sm5 0.5974 0.8017 0.7956
Sm6 0.7913 0.2913 0.5000
Sm7 0.9939 0.1983 0.7956
Er1 0.5000 0.0000 0.5000

* raw total energy: -49.2 eV per cell
* energy relative to the lowest polymorph listed for this composition: 121 meV per atom
* crystal system: orthorhombic

# 4
Compound: TiNb2Au
Source: the Alexandria database
Functional: PBE
Structure: relaxed

a b c (Å): 3.3633 3.3633 6.2740
angles (deg): 90.00 90.00 90.00
Atoms (fractional coordinates):
Ti1 0.0000 0.0000 0.0000
Nb1 0.0000 0.0000 0.4754
Nb2 0.5000 0.5000 0.2410
Au1 0.5000 0.5000 0.7505

* raw total energy: -32.0 eV per cell
* energy relative to the lowest polymorph listed for this composition: 0 meV per atom
* crystal system: tetragonal

Which of these has the highest raw total energy?
CeScTe